PS4 (GGA-PBE, optimized geometry); distance to the lowest polymorph of the same formula = 593 meV per atom; DOS at the Fermi energy = 1.388 states/eV/atom; total moment = 0.00 μB/cell; ρ = 2.9 g/cm3
1.0
4.5049 0.0000 0.0000
0.0000 4.5049 0.0000
0.0000 0.0000 4.5049
S P
4 1
Cartesian
2.2525 0.0000 2.2525
2.2525 2.2525 0.0000
0.0000 0.0000 0.0000
0.0000 2.2525 2.2525
2.2525 2.2525 2.2525

---

P2S3 (GGA-PBE, optimized geometry); distance to the lowest polymorph of the same formula = 154 meV per atom; total moment = 0.00 μB/cell; ρ = 2.0 g/cm3
1.0
3.3305 0.0000 0.0000
1.6653 7.6771 -0.1607
1.6653 3.0572 10.0910
P S
4 6
Cartesian
3.3305 5.0057 0.7487
1.6653 3.5336 7.5128
3.3305 5.7286 9.1816
4.9958 7.2007 2.4174
3.3305 7.7028 3.7697
3.3305 7.8356 9.0235
3.3305 2.8986 0.9067
3.3305 3.0315 6.1605
4.9958 5.6754 7.3677
1.6653 5.0589 2.5626

---

P3S2 (GGA-PBE, optimized geometry); DOS at the Fermi energy = 0.393 states/eV/atom; total moment = 0.00 μB/cell; ρ = 2.0 g/cm3; E = -45.68 eV/cell
1.0
4.0105 0.0000 1.4903
2.0052 6.7005 0.7452
-1.0992 0.0000 9.0991
P S
6 4
Cartesian
2.0833 1.0337 8.7432
4.1830 5.6667 3.0929
3.3821 3.3502 6.0106
3.9316 0.0000 1.4610
1.6282 4.3840 6.8973
2.6329 2.3165 4.1937
0.2846 1.6253 9.5706
3.3611 5.0751 1.2916
4.8168 4.9756 6.5863
0.8341 1.7249 5.0211

---

P2S3 (GGA-PBE, optimized geometry); distance to the lowest polymorph of the same formula = 0 meV per atom; DOS at the Fermi energy = 0.000 states/eV/atom; total moment = 0.00 μB/cell; ρ = 1.7 g/cm3
1.0
11.1816 0.0000 0.0000
0.0000 7.0770 0.0782
0.0000 0.1777 7.6845
S P
12 8
Cartesian
0.3825 0.8948 5.7151
10.7990 6.3599 2.0476
1.0893 3.3250 2.0180
8.3862 3.3941 2.9938
5.9733 6.3599 2.0476
2.7954 6.0921 0.7804
5.2083 0.8948 5.7151
4.5014 3.3250 2.0180
6.6801 3.9298 5.7446
2.7954 3.8606 4.7689
10.0922 3.9298 5.7446
8.3862 1.1626 6.9822
9.8712 1.8152 5.5859
4.2804 5.4395 2.1767
8.3862 1.5326 3.8691
8.3862 4.6933 4.7457
6.9011 1.8152 5.5859
2.7954 2.5614 3.0170
2.7954 5.7221 3.8936
1.3103 5.4395 2.1767

---

P2S3 (GGA-PBE, optimized geometry); distance to the lowest polymorph of the same formula = 6 meV per atom; DOS at the Fermi energy = 0.000 states/eV/atom; total moment = 0.00 μB/cell; ρ = 1.9 g/cm3
1.0
11.1111 0.0000 0.0000
0.0000 4.6906 0.0123
0.0000 4.6173 10.7087
S P
12 8
Cartesian
9.5588 4.9722 9.0512
3.9435 1.9935 1.0324
9.4990 5.0058 4.3342
8.6724 3.0028 6.6773
1.6120 4.3021 6.3868
2.4386 6.3051 4.0437
3.1169 8.6138 9.3980
7.1676 7.3144 9.6886
1.5523 4.3357 1.6698
7.1078 2.6636 3.6968
4.0032 6.6443 7.0242
7.9942 0.6941 1.3230
3.3672 5.1920 2.4540
8.9701 6.4439 10.4807
8.9228 1.8072 2.9126
2.1410 2.8640 0.2403
7.6965 4.1352 5.1263
2.1883 7.5007 7.8084
3.4146 5.1727 5.5947
7.7438 4.1159 8.2670

---

P4S9 (GGA-PBE, optimized geometry); DOS at the Fermi energy = 0.000 states/eV/atom; total moment = 0.00 μB/cell; ρ = 1.6 g/cm3; E = -244.10 eV/cell
1.0
-6.5636 -6.3173 2.9393
10.2022 -1.7520 8.3851
-5.2945 9.4133 8.4086
S P
36 16
Cartesian
-3.7388 0.4915 8.4365
-6.4620 4.1964 9.5052
4.7902 -6.2988 10.4386
-6.4461 7.6429 9.2944
-3.0240 2.5435 10.9492
2.6631 5.1596 11.0494
-1.4571 1.2549 13.7243
-3.7482 -5.9671 4.5208
-3.6633 -2.6774 4.3762
3.8240 1.1977 8.5217
-6.5350 -4.3352 5.2989
0.5000 2.1290 8.7007
-3.5918 5.8503 8.5630
-4.7992 6.0476 11.6601
-3.7172 0.6051 4.1084
3.1434 -4.7036 8.0730
4.8062 -2.8524 10.2279
2.0613 0.7389 15.6247
-0.4976 6.0885 11.1371
3.1195 -0.8322 5.8315
-1.1583 -4.7445 8.5959
-0.7263 -1.9938 13.7431
-2.1559 -0.7849 11.0324
2.0829 0.8525 11.2965
4.8791 5.6792 14.4342
2.0074 4.0215 15.3568
-4.7754 2.1762 13.9015
1.9359 -4.5062 11.1700
1.3681 -1.1994 8.7838
-5.4799 0.1464 11.2114
-5.3427 3.9849 6.2509
3.6868 -2.6408 13.4821
-0.1988 0.0892 6.0087
2.0923 7.3112 15.2122
-4.3190 -3.8155 8.6836
-0.9296 3.3379 5.9899
3.1627 5.7771 15.6459
-3.5988 0.6117 10.3478
-5.2918 5.9403 9.8000
-2.8843 2.6967 13.0700
2.4799 -4.3777 13.2271
0.3567 2.0340 6.5895
-4.1358 5.7217 6.5060
1.9429 0.7324 9.3852
-4.8186 -4.4331 4.0872
-5.3519 0.2377 13.3254
1.2285 -1.3526 6.6631
-2.0126 -0.6900 13.1435
3.6360 -4.5963 9.9331
-4.8062 -0.9642 3.8742
3.1503 2.3082 15.8588
3.6961 1.1064 6.4077

---

P2S3 (GGA-PBE, optimized geometry); distance to the lowest polymorph of the same formula = 6 meV per atom; DOS at the Fermi energy = 0.000 states/eV/atom; total moment = 0.00 μB/cell; ρ = 1.8 g/cm3
1.0
-0.7224 -3.0093 3.5311
9.9694 1.6439 3.4406
-1.8905 4.4093 3.3710
S P
6 4
Cartesian
5.8960 -0.4665 6.9423
3.8466 1.5585 4.6662
1.5324 -1.1861 5.4363
6.1095 2.9336 6.7620
0.5037 2.0092 4.8273
-1.7038 -0.2911 5.0762
0.2407 -0.0325 4.1913
7.2758 1.1276 6.6192
2.2499 2.7489 3.8510
5.1841 3.2327 4.8636

---

PS8 (GGA-PBE, optimized geometry); DOS at the Fermi energy = 0.434 states/eV/atom; total moment = 0.00 μB/cell; ρ = 2.3 g/cm3; E = -34.59 eV/cell
1.0
7.2792 0.0000 4.0707
3.6396 5.0346 2.0353
1.1823 0.0000 6.4296
S P
8 1
Cartesian
5.7076 0.0000 6.8810
3.6396 1.8147 2.0353
2.8797 3.4777 3.3942
5.5818 3.4777 7.1060
2.7539 0.0000 3.6192
1.9422 1.5569 5.0707
6.5193 1.5569 5.4295
7.2792 3.2199 4.0707
0.0000 0.0000 0.0000

---

Sb2P2S (GGA-PBE, optimized geometry); distance to the lowest polymorph of the same formula = 47 meV per atom; DOS at the Fermi energy = 0.249 states/eV/atom; total moment = 0.00 μB/cell; ρ = 5.0 g/cm3
1.0
4.0720 0.0000 0.0000
0.0000 4.0720 0.0000
2.0360 2.0360 6.8128
S Sb P
1 2 2
Cartesian
0.0000 0.0000 0.0000
4.0720 4.0720 5.2239
2.0360 2.0360 1.5889
4.0720 2.0360 3.4064
2.0360 4.0720 3.4064

---

Sb2PS (GGA-PBE, optimized geometry); distance to the lowest polymorph of the same formula = 80 meV per atom; DOS at the Fermi energy = 0.401 states/eV/atom; total moment = 0.00 μB/cell; ρ = 6.1 g/cm3
1.0
0.0000 3.4620 3.4620
3.4620 0.0000 3.4620
3.4620 3.4620 0.0000
Sb S P
2 1 1
Cartesian
5.1931 5.1931 5.1931
1.7310 1.7310 1.7310
3.4620 3.4620 3.4620
0.0000 0.0000 0.0000

---

SbP2S6 (GGA-PBE, optimized geometry); distance to the lowest polymorph of the same formula = 46 meV per atom; DOS at the Fermi energy = 0.618 states/eV/atom; total moment = 0.00 μB/cell; ρ = 2.3 g/cm3
1.0
-0.0236 -2.3593 -7.0636
4.8024 -4.1695 1.3766
-6.2038 -1.8562 0.6407
P S Sb
2 6 1
Cartesian
1.1319 -3.5754 0.6013
-2.5569 -4.8096 -5.6476
-4.3220 -4.0872 -4.7160
0.5819 -2.2879 -0.9940
-2.0069 -6.0972 -4.0523
-0.0937 -5.1927 -0.0215
2.8969 -4.2979 -0.3303
-1.3313 -3.1924 -5.0248
0.0000 0.0000 0.0000

---

Sb3PS6 (GGA-PBE, optimized geometry); total moment = 0.00 μB/cell; ρ = 3.3 g/cm3; E = -88.05 eV/cell
1.0
-4.4460 2.6141 -4.9530
-6.9553 -5.4991 3.3410
0.2549 8.4692 4.2411
S Sb P
12 6 2
Cartesian
-3.3156 1.2208 1.4424
-5.5840 2.2263 4.0094
-6.9902 -1.0214 -0.7700
-9.1155 -0.0793 1.6350
-0.9653 5.0370 2.1811
-6.1621 -1.4981 2.4746
-10.1463 -2.9465 -0.4788
-5.2154 3.1539 -0.9938
-1.2488 8.6769 2.8309
-7.4839 4.1594 1.5732
-3.0906 5.9790 4.5861
-4.7131 6.9228 0.4565
-3.8163 -0.1584 -0.5775
-4.2798 4.5573 -2.8343
-4.3877 0.1467 3.3984
-5.0676 4.4432 1.1145
-8.0196 1.7048 4.1789
-8.4831 6.4205 1.9221
-5.4526 8.4870 -0.8097
-7.7961 -1.6668 1.0968

---

Look up the total moment of the fifth one.
0.00 μB/cell